(1)
Below is a relaxed structure of Ho2MgCdPd4, with properties calculated at the PBE-GGA level.

## Properties
Space-group type: No. 166
ΔE_f (meV per atom): -784
Spin magnetization (μB per cell): 0.0

a = 4.7652 Å, b = 4.7652 Å, c = 8.2697 Å
α = 73.26°, β = 73.26°, γ = 60.00°
Last column: nearest neighbours and their distance in Å.
Fractional positions:
1 Ho 0.7517 0.7517 0.7448  8 Pd 2.88-2.96
2 Ho 0.2483 0.2483 0.2552  8 Pd 2.88-2.96
3 Mg 0.0000 0.0000 0.0000  8 Pd 2.86-2.90
4 Cd 0.5000 0.5000 0.5000  8 Pd 2.94-3.00
5 Pd 0.3719 0.3719 0.8843  4 Ho 2.89-2.96, 3 Mg 2.90, 1 Cd 3.00
6 Pd 0.8779 0.8779 0.3664  1 Mg 2.86, 4 Ho 2.88-2.95, 3 Cd 2.94
7 Pd 0.1221 0.1221 0.6336  1 Mg 2.86, 4 Ho 2.88-2.95, 3 Cd 2.94
8 Pd 0.6281 0.6281 0.1157  4 Ho 2.89-2.96, 3 Mg 2.90, 1 Cd 3.00

(2)
Below is a relaxed structure of HfPtAu, with properties calculated at the PBE-GGA level.

## Properties
Space-group type: No. 156
ΔE_f (meV per atom): -615
Spin magnetization (μB per cell): 0.0
E above lowest polymorph (meV/atom): 306

a = 2.8950 Å, b = 4.6341 Å, c = 4.6341 Å
α = 120.00°, β = 90.00°, γ = 90.00°
Last column: nearest neighbours and their distance in Å.
Fractional positions:
1 Hf 0.6899 0.3333 0.6667  3 Pt 2.87, 2 Hf 2.89, 6 Au 2.95-3.14
2 Au 0.2609 0.6667 0.3333  3 Pt 2.74, 2 Au 2.89, 3 Hf 2.95
3 Pt 0.0492 0.0000 0.0000  3 Au 2.74, 3 Hf 2.87, 2 Pt 2.89